LaInPt | PBE-GGA | optimized geometry Values from VASP.

Crystal system ... cubic
Formation energy from the elements ... -0.837 eV per atom

Geometry as Quantum ESPRESSO input:
```
&SYSTEM
  ibrav = 0, nat = 3, ntyp = 3
/
ATOMIC_SPECIES
La 138.91 La.upf
In 114.82 In.upf
Pt 195.08 Pt.upf
CELL_PARAMETERS angstrom
0.000 3.450 3.450
3.450 0.000 3.450
3.450 3.450 0.000
ATOMIC_POSITIONS crystal
La 0.000 0.000 0.000
In 0.500 0.500 0.500
Pt 0.750 0.750 0.750
```

---

GeCSe3 | PBE-GGA | optimized geometry Values from VASP.

Crystal system ... cubic
Formation energy without anion corrections ... 1.806 eV per atom

Geometry as Quantum ESPRESSO input:
```
&SYSTEM
  ibrav = 0, nat = 5, ntyp = 3
/
ATOMIC_SPECIES
Ge 72.64 Ge.upf
C 12.01 C.upf
Se 78.96 Se.upf
CELL_PARAMETERS angstrom
4.990 0.000 0.000
0.000 4.990 0.000
0.000 0.000 4.990
ATOMIC_POSITIONS crystal
Ge 0.000 0.000 0.000
C 0.500 0.500 0.500
Se 0.000 0.000 0.500
Se 0.000 0.500 0.000
Se 0.500 0.000 0.000
```

---

Number 1: N(E_F) 4.164 states/eV/f.u., uncorrected energy -5.406 eV/atom. Number 2: N(E_F) 5.347 states/eV/f.u., uncorrected energy -3.053 eV/atom.